Density functional theory data (GGA-PBE) for an optimized crystal structure of CaPmCo.

The calculation puts the formation energy at 0.059 eV/atom. The total energy is -54.7 eV/cell. Its total magnetization is 0.0 μB/cell. Its energy above the lowest structure with this stoichiometry is 111 meV/atom. The space-group type is P2_1/c.

Cell lengths 6.776, 7.238, 7.500 Å; angles 90.00, 112.58, 90.00 degrees
Element x y z (fractional)
Ca 0.483 0.818 0.798
Ca 0.017 0.318 0.202
Ca 0.517 0.182 0.202
Ca 0.983 0.682 0.798
Pm 0.957 0.824 0.327
Pm 0.543 0.324 0.673
Pm 0.043 0.176 0.673
Pm 0.457 0.676 0.327
Co 0.678 0.960 0.528
Co 0.822 0.460 0.472
Co 0.322 0.040 0.472
Co 0.178 0.540 0.528

***

Density functional theory data (GGA-PBE) for an optimized crystal structure of CaPmCo.

The calculation puts the formation energy at 0.070 eV/atom. The total energy is -13.6 eV/cell. Its total magnetization is 0.3 μB/cell. Its energy above the lowest structure with this stoichiometry is 122 meV/atom. The space-group type is I4mm.

Cell lengths 3.456, 3.456, 6.990 Å; angles 104.31, 104.31, 90.00 degrees
Element x y z (fractional)
Ca 0.036 0.036 0.072
Co 0.676 0.676 0.351
Pm 0.288 0.288 0.577

***

Density functional theory data (GGA-PBE) for an optimized crystal structure of CaPmCo4.

The calculation puts the formation energy at 0.009 eV/atom. The total energy is -35.1 eV/cell. Its total magnetization is 4.8 μB/cell. The space-group type is F-43m.

Cell lengths 5.137, 5.137, 5.137 Å; angles 60.00, 60.00, 60.00 degrees
Element x y z (fractional)
Ca 0.000 0.000 0.000
Co 0.625 0.625 0.125
Co 0.625 0.125 0.625
Co 0.625 0.625 0.625
Co 0.125 0.625 0.625
Pm 0.250 0.250 0.250

***

Density functional theory data (GGA-PBE) for an optimized crystal structure of CaPmZnCo.

The calculation puts the formation energy at -0.007 eV/atom. The total energy is -15.2 eV/cell. Its total magnetization is 0.7 μB/cell. The space-group type is F-43m.

Cell lengths 4.997, 4.997, 4.997 Å; angles 60.00, 60.00, 60.00 degrees
Element x y z (fractional)
Zn 0.000 0.000 0.000
Co 0.500 0.500 0.500
Ca 0.250 0.250 0.250
Pm 0.750 0.750 0.750

***

Density functional theory data (GGA-PBE) for an optimized crystal structure of Ca2Pr5Co2.

The calculation puts the formation energy at 0.017 eV/atom. The total energy is -83.9 eV/cell. Its total magnetization is 0.0 μB/cell. The space-group type is Cmce.

Cell lengths 7.652, 7.654, 10.531 Å; angles 90.00, 68.70, 90.00 degrees
Element x y z (fractional)
Ca 0.229 0.000 0.541
Ca 0.729 0.500 0.541
Ca 0.771 0.000 0.459
Ca 0.271 0.500 0.459
Pr 0.000 0.000 0.000
Pr 0.500 0.500 0.000
Pr 0.428 0.168 0.807
Pr 0.765 0.832 0.807
Pr 0.265 0.668 0.807
Pr 0.928 0.332 0.807
Pr 0.572 0.832 0.193
Pr 0.235 0.168 0.193
Pr 0.735 0.332 0.193
Pr 0.072 0.668 0.193
Co 0.131 0.368 0.000
Co 0.869 0.632 0.000
Co 0.369 0.868 0.000
Co 0.631 0.132 0.000

***

Density functional theory data (GGA-PBE) for an optimized crystal structure of CaPr4Co.

The calculation puts the formation energy at 0.028 eV/atom. The total energy is -56.1 eV/cell. Its total magnetization is 0.0 μB/cell. Its energy above the lowest structure with this stoichiometry is 0 meV/atom. The space-group type is P2_1/m.

Cell lengths 6.156, 7.197, 9.370 Å; angles 90.00, 102.72, 90.00 degrees
Element x y z (fractional)
Ca 0.283 0.750 0.554
Ca 0.717 0.250 0.446
Pr 0.704 0.750 0.307
Pr 0.296 0.250 0.693
Pr 0.385 0.750 0.941
Pr 0.615 0.250 0.059
Pr 0.142 0.008 0.194
Pr 0.858 0.508 0.806
Pr 0.142 0.492 0.194
Pr 0.858 0.992 0.806
Co 0.842 0.750 0.040
Co 0.158 0.250 0.960

***

Density functional theory data (GGA-PBE) for an optimized crystal structure of CaPr2Co.

The calculation puts the formation energy at 0.019 eV/atom. The total energy is -18.6 eV/cell. Its total magnetization is 0.0 μB/cell. Its energy above the lowest structure with this stoichiometry is 40 meV/atom. The space-group type is R-3m.

Cell lengths 4.002, 4.002, 9.945 Å; angles 78.39, 78.39, 60.00 degrees
Element x y z (fractional)
Pr 0.719 0.719 0.844
Pr 0.281 0.281 0.156
Ca 0.500 0.500 0.500
Co 0.000 0.000 0.000

***

Density functional theory data (GGA-PBE) for an optimized crystal structure of CaPr2Co.

The calculation puts the formation energy at 0.036 eV/atom. The total energy is -37.0 eV/cell. Its total magnetization is 0.0 μB/cell. Its energy above the lowest structure with this stoichiometry is 57 meV/atom. The space-group type is Cmcm.

Cell lengths 3.896, 6.648, 9.510 Å; angles 90.00, 90.00, 107.06 degrees
Element x y z (fractional)
Ca 0.918 0.835 0.250
Ca 0.082 0.165 0.750
Pr 0.356 0.712 0.570
Pr 0.644 0.288 0.430
Pr 0.356 0.712 0.930
Pr 0.644 0.288 0.070
Co 0.765 0.529 0.750
Co 0.235 0.471 0.250

***

Density functional theory data (GGA-PBE) for an optimized crystal structure of CaPr2Co.

The calculation puts the formation energy at 0.061 eV/atom. The total energy is -18.4 eV/cell. Its total magnetization is 0.8 μB/cell. Its energy above the lowest structure with this stoichiometry is 82 meV/atom. The space-group type is P4/mmm.

Cell lengths 3.554, 3.554, 9.704 Å; angles 90.00, 90.00, 90.00 degrees
Element x y z (fractional)
Pr 0.000 0.000 0.828
Pr 0.000 0.000 0.172
Ca 0.500 0.500 0.500
Co 0.500 0.500 0.000

***

Density functional theory data (GGA-PBE) for an optimized crystal structure of CaPr2Co.

The calculation puts the formation energy at 0.014 eV/atom. The total energy is -18.6 eV/cell. Its total magnetization is 0.0 μB/cell. Its energy above the lowest structure with this stoichiometry is 35 meV/atom. The space-group type is R3m.

Cell lengths 4.020, 4.020, 9.779 Å; angles 78.14, 78.14, 60.00 degrees
Element x y z (fractional)
Ca 0.501 0.501 0.496
Pr 0.052 0.052 0.843
Pr 0.280 0.280 0.159
Co 0.666 0.666 0.002

***

Density functional theory data (GGA-PBE) for an optimized crystal structure of CaPr2Co.

The calculation puts the formation energy at -0.021 eV/atom. The total energy is -37.5 eV/cell. Its total magnetization is 0.0 μB/cell. Its energy above the lowest structure with this stoichiometry is 0 meV/atom. The space-group type is C2/m.

Cell lengths 3.812, 7.334, 9.099 Å; angles 96.47, 90.00, 105.06 degrees
Element x y z (fractional)
Ca 0.373 0.746 0.039
Ca 0.627 0.254 0.961
Pr 0.779 0.557 0.342
Pr 0.221 0.443 0.658
Pr 0.956 0.912 0.678
Pr 0.044 0.088 0.322
Co 0.414 0.828 0.435
Co 0.586 0.172 0.565

***

Density functional theory data (GGA-PBE) for an optimized crystal structure of CaPr4Co.

The calculation puts the formation energy at 0.039 eV/atom. The total energy is -56.0 eV/cell. Its total magnetization is 0.0 μB/cell. Its energy above the lowest structure with this stoichiometry is 11 meV/atom. The space-group type is C2/m.

Cell lengths 6.292, 7.457, 9.836 Å; angles 112.28, 108.65, 90.00 degrees
Element x y z (fractional)
Ca 0.802 0.802 0.603
Ca 0.198 0.198 0.397
Pr 0.175 0.676 0.351
Pr 0.391 0.141 0.782
Pr 0.000 0.245 0.000
Pr 0.609 0.360 0.218
Pr 0.825 0.324 0.649
Pr 0.609 0.859 0.218
Pr 0.000 0.755 0.000
Pr 0.391 0.640 0.782
Co 0.308 0.501 0.001
Co 0.692 0.499 0.999

***

Density functional theory data (GGA-PBE) for an optimized crystal structure of CaCo2Pt.

The calculation puts the formation energy at 0.111 eV/atom. The total energy is -21.8 eV/cell. Its total magnetization is 3.4 μB/cell. The space-group type is P4/mmm.

Cell lengths 3.914, 3.915, 4.100 Å; angles 90.00, 90.00, 90.00 degrees
Element x y z (fractional)
Ca 0.000 0.500 0.500
Co 0.000 0.000 0.000
Co 0.500 0.500 0.000
Pt 0.500 0.000 0.500

***

Density functional theory data (GGA-PBE) for an optimized crystal structure of CaCoPt2.

The calculation puts the formation energy at 0.189 eV/atom. The total energy is -20.4 eV/cell. Its total magnetization is 1.7 μB/cell. The space-group type is R3m.

Cell lengths 9.289, 9.289, 9.289 Å; angles 17.96, 17.96, 17.96 degrees
Element x y z (fractional)
Ca 0.499 0.499 0.499
Co 0.744 0.744 0.744
Pt 0.005 0.005 0.005
Pt 0.252 0.252 0.252

***

Density functional theory data (GGA-PBE) for an optimized crystal structure of CaCoPt2.

The calculation puts the formation energy at -0.040 eV/atom. The total energy is -42.7 eV/cell. Its total magnetization is 3.1 μB/cell. The space-group type is I-42d.

Cell lengths 4.835, 4.835, 8.795 Å; angles 74.05, 74.05, 90.00 degrees
Element x y z (fractional)
Ca 0.500 0.500 0.000
Ca 0.250 0.750 0.500
Co 0.000 0.000 0.000
Co 0.750 0.250 0.500
Pt 0.803 0.125 0.250
Pt 0.947 0.625 0.250
Pt 0.375 0.197 0.750
Pt 0.875 0.053 0.750

***

Density functional theory data (GGA-PBE) for an optimized crystal structure of CaCo2Pt.

The calculation puts the formation energy at 0.177 eV/atom. The total energy is -21.5 eV/cell. Its total magnetization is 3.5 μB/cell. The space-group type is F-43m.

Cell lengths 4.489, 4.489, 4.489 Å; angles 60.00, 60.00, 60.00 degrees
Element x y z (fractional)
Ca 0.500 0.500 0.500
Co 0.000 0.000 0.000
Co 0.750 0.750 0.750
Pt 0.250 0.250 0.250

***

Density functional theory data (GGA-PBE) for an optimized crystal structure of CaCo2Pt.

The calculation puts the formation energy at 0.522 eV/atom. The total energy is -20.2 eV/cell. Its total magnetization is 2.9 μB/cell. The space-group type is R-3m.

Cell lengths 9.135, 9.135, 9.135 Å; angles 17.79, 17.79, 17.79 degrees
Element x y z (fractional)
Ca 0.750 0.750 0.750
Co 0.994 0.994 0.994
Co 0.506 0.506 0.506
Pt 0.250 0.250 0.250

***

Density functional theory data (GGA-PBE) for an optimized crystal structure of CaCoPt.

The calculation puts the formation energy at 0.303 eV/atom. The total energy is -14.2 eV/cell. Its total magnetization is 1.5 μB/cell. The space-group type is P3m1.

Cell lengths 3.053, 3.053, 6.650 Å; angles 90.00, 90.00, 120.00 degrees
Element x y z (fractional)
Ca 0.000 0.000 0.000
Co 0.667 0.333 0.355
Pt 0.333 0.667 0.645

***

Density functional theory data (GGA-PBE) for an optimized crystal structure of CaCoPt2.

The calculation puts the formation energy at -0.233 eV/atom. The total energy is -22.1 eV/cell. Its total magnetization is 2.1 μB/cell. The space-group type is Pm.

Cell lengths 4.631, 2.859, 5.075 Å; angles 89.75, 90.00, 90.00 degrees
Element x y z (fractional)
Ca 0.000 0.623 0.448
Co 0.500 0.629 0.836
Pt 0.000 0.124 0.936
Pt 0.500 0.124 0.280

***

Density functional theory data (GGA-PBE) for an optimized crystal structure of CaCo2Pt.

The calculation puts the formation energy at 0.153 eV/atom. The total energy is -21.6 eV/cell. Its total magnetization is 3.3 μB/cell. The space-group type is Fm-3m.

Cell lengths 4.443, 4.443, 4.443 Å; angles 60.00, 60.00, 60.00 degrees
Element x y z (fractional)
Ca 0.000 0.000 0.000
Co 0.250 0.250 0.250
Co 0.750 0.750 0.750
Pt 0.500 0.500 0.500

***

Density functional theory data (GGA-PBE) for an optimized crystal structure of CaCo2Pt.

The calculation puts the formation energy at 0.208 eV/atom. The total energy is -21.4 eV/cell. Its total magnetization is 3.2 μB/cell. The space-group type is C2/m.

Cell lengths 5.211, 5.211, 2.766 Å; angles 79.16, 79.16, 117.61 degrees
Element x y z (fractional)
Ca 0.000 0.500 0.500
Co 0.000 0.000 0.000
Co 0.500 0.500 0.000
Pt 0.500 0.000 0.500

***

Density functional theory data (GGA-PBE) for an optimized crystal structure of CaCo2Pt.

The calculation puts the formation energy at -0.127 eV/atom. The total energy is -22.8 eV/cell. Its total magnetization is 3.1 μB/cell. The space-group type is C2/m.

Cell lengths 4.245, 4.245, 5.464 Å; angles 67.06, 67.06, 59.99 degrees
Element x y z (fractional)
Ca 0.250 0.250 0.250
Co 0.063 0.063 0.811
Co 0.437 0.437 0.689
Pt 0.750 0.750 0.750

***

Density functional theory data (GGA-PBE) for an optimized crystal structure of CaCo2Pt.

The calculation puts the formation energy at 0.161 eV/atom. The total energy is -21.6 eV/cell. Its total magnetization is 3.5 μB/cell. The space-group type is P2/m.

Cell lengths 4.514, 2.904, 5.265 Å; angles 80.28, 90.00, 90.00 degrees
Element x y z (fractional)
Ca 0.500 0.750 0.750
Co 0.000 0.036 0.074
Co 0.000 0.464 0.426
Pt 0.500 0.250 0.250

***

Density functional theory data (GGA-PBE) for an optimized crystal structure of CaCo2Pt.

The calculation puts the formation energy at 0.047 eV/atom. The total energy is -22.1 eV/cell. Its total magnetization is 3.4 μB/cell. The space-group type is Amm2.

Cell lengths 4.129, 2.867, 5.619 Å; angles 75.24, 90.00, 90.00 degrees
Element x y z (fractional)
Ca 0.500 0.808 0.760
Co 0.000 0.164 0.049
Co 0.500 0.065 0.244
Pt 0.000 0.464 0.447

***

Density functional theory data (GGA-PBE) for an optimized crystal structure of CaCoPt2.

The calculation puts the formation energy at -0.099 eV/atom. The total energy is -21.6 eV/cell. Its total magnetization is 2.1 μB/cell. The space-group type is F-43m.

Cell lengths 4.582, 4.582, 4.582 Å; angles 60.00, 60.00, 60.00 degrees
Element x y z (fractional)
Ca 0.500 0.500 0.500
Co 0.750 0.750 0.750
Pt 0.000 0.000 0.000
Pt 0.250 0.250 0.250

***

Density functional theory data (GGA-PBE) for an optimized crystal structure of CaCo2Pt.

The calculation puts the formation energy at 0.129 eV/atom. The total energy is -21.7 eV/cell. Its total magnetization is 3.6 μB/cell. The space-group type is I4/mmm.

Cell lengths 4.960, 4.960, 4.960 Å; angles 133.51, 133.41, 67.93 degrees
Element x y z (fractional)
Ca 0.750 0.250 0.500
Co 0.000 0.000 0.000
Co 0.500 0.500 0.000
Pt 0.250 0.750 0.500

***

Density functional theory data (GGA-PBE) for an optimized crystal structure of CaCoPt2.

The calculation puts the formation energy at -0.217 eV/atom. The total energy is -22.1 eV/cell. Its total magnetization is 2.0 μB/cell. The space-group type is Cm.

Cell lengths 4.949, 4.949, 5.101 Å; angles 80.25, 80.25, 33.75 degrees
Element x y z (fractional)
Ca 0.502 0.502 0.482
Co 0.736 0.736 0.819
Pt 0.003 0.003 0.964
Pt 0.259 0.259 0.235